# NdSm4Se4

An optimized crystal structure of NdSm4Se4 (PBE, the Alexandria database).

```
data_NdSm4Se4
_chemical_formula_sum 'Nd1 Sm4 Se4'
_space_group_name_H-M_alt 'P 1'
_space_group_IT_number 1
_cell_length_a 7.178
_cell_length_b 7.178
_cell_length_c 7.178
_cell_angle_alpha 99.61
_cell_angle_beta 99.61
_cell_angle_gamma 131.77
loop_
_space_group_symop_operation_xyz
'x,y,z'
loop_
_atom_site_label
_atom_site_fract_x
_atom_site_fract_y
_atom_site_fract_z
Nd1 0.000 0.000 0.000
Sm1 0.200 0.604 0.804
Sm2 0.396 0.200 0.596
Sm3 0.604 0.800 0.404
Sm4 0.800 0.396 0.196
Se1 0.099 0.304 0.403
Se2 0.304 0.901 0.205
Se3 0.696 0.099 0.795
Se4 0.901 0.696 0.597
```

Values from the calculation:
Raw formation energy (eV/f.u.): -14.276
Size of the total moment (μB per formula unit): 0.00